Entry from the Alexandria database: a geometry-optimized Li8SN2 structure (PBE).

The uncorrected formation energy is -6.7 eV per formula unit.

Cell: 5.8776 5.8776 3.8516 Å, 95.12 95.12 113.40°
Closest atoms and distances in Å follow each position.
Fractional coordinates of all 11 atoms:
Li: 0.1076 0.1076 0.7557  2 N 2.05, 1 Li 2.22
Li: 0.1660 0.4588 0.4476  2 N 2.08-2.11, 1 Li 2.25
Li: 0.2362 0.7638 0.0000  2 N 2.01
Li: 0.4588 0.1660 0.4476  2 N 2.08-2.11, 1 Li 2.25
Li: 0.5412 0.8340 0.5524  2 N 2.08-2.11, 1 Li 2.25
Li: 0.7638 0.2362 0.0000  2 N 2.01
Li: 0.8340 0.5412 0.5524  2 N 2.08-2.11, 1 Li 2.25
Li: 0.8924 0.8924 0.2443  2 N 2.05, 1 Li 2.22
S: 0.5000 0.5000 0.0000  12 Li 2.55-2.69
N: 0.1761 0.8240 0.5000  8 Li 2.01-2.11
N: 0.8240 0.1761 0.5000  8 Li 2.01-2.11

=====

Entry from the Alexandria database: a geometry-optimized LiSN structure (PBE).

The uncorrected formation energy is 0.2 eV per formula unit. The relative energy among the computed polymorphs comes out at 553.0 meV/atom.

Cell: 2.6751 4.1781 8.3524 Å, 103.32 90.01 108.63°
Closest atoms and distances in Å follow each position.
Fractional coordinates of all 6 atoms:
Li: 0.0949 0.1911 0.3844  4 N 2.11-2.26
Li: 0.9051 0.8088 0.6156  4 N 2.11-2.26
S: 0.3328 0.6660 0.2217  2 N 1.77
S: 0.6672 0.3340 0.7783  2 N 1.77
N: 0.1848 0.3693 0.6444  2 S 1.77
N: 0.8152 0.6307 0.3556  2 S 1.77

=====

Entry from the Alexandria database: a geometry-optimized Li2SN structure (PBE).

The uncorrected formation energy is 0.8 eV per formula unit. The relative energy among the computed polymorphs comes out at 58.3 meV/atom.

Cell: 3.9846 3.9846 3.9846 Å, 60.00 60.00 60.00°
Closest atoms and distances in Å follow each position.
Fractional coordinates of all 4 atoms:
Li: 0.2500 0.2500 0.2500  4 S 2.44, 4 N 2.44
Li: 0.7500 0.7500 0.7500  4 N 2.44, 4 S 2.44
S: 0.0000 0.0000 0.0000  8 Li 2.44
N: 0.5000 0.5000 0.5000  8 Li 2.44

=====

Entry from the Alexandria database: a geometry-optimized Li2SN structure (PBE).

The uncorrected formation energy is 0.6 eV per formula unit. The relative energy among the computed polymorphs comes out at 0.0 meV/atom.

Cell: 7.5117 7.5117 7.5117 Å, 152.12 152.12 39.84°
Closest atoms and distances in Å follow each position.
Fractional coordinates of all 8 atoms:
Li: 0.0672 0.6250 0.9422  2 N 2.10, 2 S 2.28, 2 Li 2.28
Li: 0.3750 0.3172 0.4422  2 N 2.10, 2 S 2.28, 2 Li 2.28
Li: 0.6828 0.1250 0.0578  2 N 2.10, 2 S 2.28, 2 Li 2.28
Li: 0.8750 0.9328 0.5578  2 N 2.10, 2 S 2.28, 2 Li 2.28
S: 0.2500 0.7500 0.5000  4 Li 2.28
S: 0.5000 0.5000 0.0000  4 Li 2.28
N: 0.0000 0.0000 0.0000  4 Li 2.10
N: 0.7500 0.2500 0.5000  4 Li 2.10

=====

Entry from the Alexandria database: a geometry-optimized Li8S2N structure (PBE).

The uncorrected formation energy is -8.1 eV per formula unit.

Cell: 8.1645 8.1645 5.0717 Å, 107.88 107.88 26.69°
Closest atoms and distances in Å follow each position.
Fractional coordinates of all 11 atoms:
Li: 0.0008 0.0008 0.2835  2 N 2.18, 5 Li 2.20-2.42
Li: 0.2300 0.2300 0.7320  4 S 2.50-2.75
Li: 0.3993 0.3993 0.6480  1 N 1.97
Li: 0.4005 0.4005 0.1487  1 N 1.97
Li: 0.5995 0.5995 0.8513  1 N 1.97
Li: 0.6007 0.6007 0.3520  1 N 1.97
Li: 0.7700 0.7700 0.2680  4 S 2.50-2.75
Li: 0.9992 0.9992 0.7165  2 N 2.18, 5 Li 2.20-2.42
S: 0.1615 0.1615 0.1614  7 Li 2.45-2.72
S: 0.8385 0.8385 0.8386  7 Li 2.45-2.72
N: 0.5000 0.5000 0.5000  8 Li 1.97-2.18

=====

Entry from the Alexandria database: a geometry-optimized LiSN2 structure (PBE).

The uncorrected formation energy is 2.1 eV per formula unit.

Cell: 5.6453 5.6453 5.6453 Å, 35.46 35.46 35.46°
Closest atoms and distances in Å follow each position.
Fractional coordinates of all 4 atoms:
Li: 0.0000 0.0000 0.0000  6 N 2.29
S: 0.5000 0.5000 0.5000  2 N 1.50
N: 0.4055 0.4055 0.4055  1 S 1.50
N: 0.5945 0.5945 0.5945  1 S 1.50

=====

Entry from the Alexandria database: a geometry-optimized Li9S3N structure (PBE).

The uncorrected formation energy is -13.4 eV per formula unit.

Cell: 5.5157 5.5157 5.5157 Å, 90.00 90.00 90.00°
Closest atoms and distances in Å follow each position.
Fractional coordinates of all 13 atoms:
Li: 0.0000 0.0000 0.0000  8 Li 2.70, 6 S 2.76
Li: 0.2826 0.2826 0.2826  1 N 2.08
Li: 0.2826 0.2826 0.7174  1 N 2.08
Li: 0.2826 0.7174 0.2826  1 N 2.08
Li: 0.2826 0.7174 0.7174  1 N 2.08
Li: 0.7174 0.2826 0.2826  1 N 2.08
Li: 0.7174 0.2826 0.7174  1 N 2.08
Li: 0.7174 0.7174 0.2826  1 N 2.08
Li: 0.7174 0.7174 0.7174  1 N 2.08
S: 0.0000 0.0000 0.5000  10 Li 2.51-2.76
S: 0.0000 0.5000 0.0000  10 Li 2.51-2.76
S: 0.5000 0.0000 0.0000  10 Li 2.51-2.76
N: 0.5000 0.5000 0.5000  8 Li 2.08

=====

Entry from the Alexandria database: a geometry-optimized LiS2N2 structure (PBE).

The uncorrected formation energy is 5.5 eV per formula unit. The relative energy among the computed polymorphs comes out at 0.0 meV/atom.

Cell: 3.3991 3.3991 5.3282 Å, 90.00 90.00 90.00°
Closest atoms and distances in Å follow each position.
Fractional coordinates of all 5 atoms:
Li: 0.0000 0.0000 0.0000  4 S 2.40
S: 0.5000 0.5000 0.0000  4 Li 2.40, 2 S 2.66
S: 0.5000 0.5000 0.5000  4 N 1.70
N: 0.0000 0.5000 0.5000  2 S 1.70
N: 0.5000 0.0000 0.5000  2 S 1.70

=====

Entry from the Alexandria database: a geometry-optimized LiScS2N structure (PBE).

The uncorrected formation energy is -1.3 eV per formula unit. The relative energy among the computed polymorphs comes out at 0.0 meV/atom.

Cell: 4.9875 4.9875 4.2608 Å, 90.00 90.00 90.00°
Closest atoms and distances in Å follow each position.
Fractional coordinates of all 5 atoms:
Li: 0.0000 0.0000 0.0000  8 S 3.28, 4 N 3.53
Sc: 0.5000 0.5000 0.5000  2 N 2.13
S: 0.0000 0.5000 0.5000  2 Sc 2.49
S: 0.5000 0.0000 0.5000  2 Sc 2.49
N: 0.5000 0.5000 0.0000  2 Sc 2.13

=====

Entry from the Alexandria database: a geometry-optimized Li2ScSN structure (PBE).

The uncorrected formation energy is -6.0 eV per formula unit.

Cell: 3.9454 3.9454 4.2512 Å, 90.00 90.00 90.00°
Closest atoms and distances in Å follow each position.
Fractional coordinates of all 5 atoms:
Li: 0.0000 0.5000 0.0000  2 N 1.97
Li: 0.5000 0.0000 0.0000  2 N 1.97
Sc: 0.0000 0.0000 0.5000  2 N 2.13
S: 0.5000 0.5000 0.5000  4 Sc 2.79, 8 Li 2.90
N: 0.0000 0.0000 0.0000  4 Li 1.97, 2 Sc 2.13

=====

Entry from the Alexandria database: a geometry-optimized LiScS2N structure (PBE).

The uncorrected formation energy is 0.3 eV per formula unit. The relative energy among the computed polymorphs comes out at 330.5 meV/atom.

Cell: 4.4766 4.4766 3.5920 Å, 90.00 90.00 90.00°
Closest atoms and distances in Å follow each position.
Fractional coordinates of all 5 atoms:
Li: 0.0000 0.0000 0.0000  2 N 1.80
Sc: 0.5000 0.5000 0.5000  8 S 2.87, 4 N 3.17
S: 0.0000 0.5000 0.0000  2 Li 2.24
S: 0.5000 0.0000 0.0000  2 Li 2.24
N: 0.0000 0.0000 0.5000  2 Li 1.80

=====

Entry from the Alexandria database: a geometry-optimized LiSiSN2 structure (PBE).

The uncorrected formation energy is 1.1 eV per formula unit. The relative energy among the computed polymorphs comes out at 0.0 meV/atom.

Cell: 3.4591 3.4591 5.3350 Å, 90.00 90.00 90.00°
Closest atoms and distances in Å follow each position.
Fractional coordinates of all 5 atoms:
Li: 0.0000 0.0000 0.0000  4 S 2.45
Si: 0.5000 0.5000 0.5000  4 N 1.73
S: 0.5000 0.5000 0.0000  4 Li 2.45, 2 Si 2.67
N: 0.0000 0.5000 0.5000  2 Si 1.73
N: 0.5000 0.0000 0.5000  2 Si 1.73

=====

no.,total DFT energy (no corrections) (eV per cell)
1,-42.8
2,-28.4
3,-15.5
4,-31.4
5,-40.0
6,-20.6
7,-51.3
8,-21.3
9,-26.1
10,-28.6
11,-24.5
12,-27.0